Entry 1:
VASP calculation (PBE-GGA) on a relaxed structure of NaAgTeIrSe2.

DFT total energy (eV per atom): -4.114

POSCAR file:
```
NaAgTeIrSe2
1.0
1.8861 -7.2077 0.0000
1.8861 7.2077 0.0000
0.0000 0.0000 10.3681
Te Ir Na Ag Se
2 2 2 2 4
direct
0.0671 0.9329 0.2500
0.9329 0.0671 0.7500
0.0000 0.0000 0.0000
0.0000 0.0000 0.5000
0.7490 0.2510 0.2500
0.2510 0.7490 0.7500
0.4121 0.5879 0.2500
0.5879 0.4121 0.7500
0.6193 0.3807 0.9882
0.6193 0.3807 0.5118
0.3807 0.6193 0.4882
0.3807 0.6193 0.0118
```



Entry 2:
VASP calculation (PBE-GGA) on a relaxed structure of SrNdCuTe2Se.

DFT total energy (eV per atom): -4.636

POSCAR file:
```
SrNdCuTe2Se
1.0
-6.9089 2.3031 2.1835
6.2956 -3.8903 1.7425
4.3986 9.0681 4.3532
Te Cu Sr Nd Se
4 2 2 2 2
direct
0.1486 0.8514 0.0701
0.8514 0.1486 0.5701
0.1486 0.8514 0.4299
0.8514 0.1486 0.9299
0.0260 0.9740 0.2500
0.9740 0.0260 0.7500
0.7697 0.2303 0.2500
0.2303 0.7697 0.7500
0.5000 0.5000 0.0000
0.5000 0.5000 0.5000
0.5719 0.4281 0.7500
0.4281 0.5719 0.2500
```



Entry 3:
VASP calculation (PBE-GGA) on a relaxed structure of AcTmTh.

E_form (eV/atom): 0.7315
Polymorph energy (0 for the lowest one) (kcal/mol of atoms): 0.000
DFT total energy (eV per atom): -4.600

POSCAR file:
```
AcTmTh
1.0
1.3568 -4.9425 -2.1717
-3.3218 -2.3879 -3.7747
1.6265 -0.3541 -5.3117
Th Ac Tm
1 1 1
direct
0.7500 0.7500 0.7500
0.2500 0.2500 0.2500
0.0000 0.0000 0.0000
```



Entry 4:
VASP calculation (PBE-GGA) on a relaxed structure of LaPr3S3O4.

DFT total energy (eV per atom): -7.468

POSCAR file:
```
LaPr3S3O4
1.0
8.3924 0.0000 0.0000
0.0000 1.9955 6.3945
0.0000 -1.9955 6.3945
Pr S La O
3 3 1 4
direct
0.2351 0.6907 0.6907
0.5000 0.0149 0.0149
0.7649 0.6907 0.6907
0.0000 0.3114 0.3114
0.3710 0.3536 0.3536
0.6290 0.3536 0.3536
0.0000 0.9957 0.9957
0.2439 0.0886 0.0886
0.7561 0.0886 0.0886
0.5000 0.6178 0.6178
0.0000 0.5890 0.5890
```



Entry 5:
VASP calculation (PBE-GGA) on a relaxed structure of YU.

E_form (eV/atom): 0.8103
Polymorph energy (0 for the lowest one) (kcal/mol of atoms): 7.191
DFT total energy (eV per atom): -8.071

POSCAR file:
```
YU
1.0
-1.7469 -4.6325 -2.0574
-0.3181 0.8777 5.2795
-4.3637 1.9028 -0.5793
U Y
2 2
direct
0.0000 0.0000 0.0000
0.0000 0.0000 0.5000
0.6667 0.3333 0.2500
0.3333 0.6667 0.7500
```



Entry 6:
VASP calculation (PBE-GGA) on a relaxed structure of ScCuNiB.

Polymorph energy (0 for the lowest one) (kcal/mol of atoms): 0.000
DFT total energy (eV per atom): -5.572

POSCAR file:
```
ScCuNiB
1.0
0.0000 2.8895 2.8895
2.8895 0.0000 2.8895
2.8895 2.8895 0.0000
Ni Sc Cu B
1 1 1 1
direct
0.7500 0.7500 0.7500
0.2500 0.2500 0.2500
0.5000 0.5000 0.5000
0.0000 0.0000 0.0000
```



Entry 7:
VASP calculation (PBE-GGA) on a relaxed structure of ErZn2GePd4.

DFT total energy (eV per atom): -4.653

POSCAR file:
```
ErZn2GePd4
1.0
4.4730 0.0000 0.0000
0.0000 4.4730 0.0000
0.0000 0.0000 6.5716
Zn Er Pd Ge
2 1 4 1
direct
0.5000 0.5000 0.5000
0.0000 0.0000 0.0000
0.0000 0.0000 0.5000
0.0000 0.5000 0.7743
0.5000 0.0000 0.2257
0.5000 0.0000 0.7743
0.0000 0.5000 0.2257
0.5000 0.5000 0.0000
```



Entry 8:
VASP calculation (PBE-GGA) on a relaxed structure of CsZr2.

DFT total energy (eV per atom): -2.057

POSCAR file:
```
CsZr2
1.0
-4.2466 -5.3115 5.5395
2.8022 -0.8608 8.2668
-4.6887 3.3846 6.5949
Zr Cs
4 2
direct
0.3750 0.3750 0.8750
0.3750 0.3750 0.3750
0.8750 0.3750 0.3750
0.3750 0.8750 0.3750
0.5000 0.5000 0.5000
0.2500 0.2500 0.2500
```



Entry 9:
VASP calculation (PBE-GGA) on a relaxed structure of Ba2GaCoS6.

DFT total energy (eV per atom): -4.689

POSCAR file:
```
Ba2GaCoS6
1.0
-3.3763 4.7748 3.3763
3.3763 -4.7748 3.3763
3.3763 4.7748 -3.3763
S Ba Ga Co
6 2 1 1
direct
0.7572 0.5144 0.7572
0.7572 0.0000 0.2428
0.2428 0.0000 0.7572
0.2428 0.0000 0.2428
0.2428 0.4856 0.2428
0.7572 0.0000 0.7572
0.7500 0.5000 0.2500
0.2500 0.5000 0.7500
0.5000 0.0000 0.5000
0.0000 0.0000 0.0000
```



Entry 10:
VASP calculation (PBE-GGA) on a relaxed structure of SrNi2Ge.

DFT total energy (eV per atom): -4.788

POSCAR file:
```
SrNi2Ge
1.0
4.1388 0.0000 0.0000
-2.0694 3.5843 0.0000
0.0000 0.0000 10.4808
Ni Ge Sr
4 2 2
direct
0.0000 0.0000 0.7839
0.6667 0.3333 0.7159
0.6667 0.3333 0.2841
0.0000 0.0000 0.2161
0.3333 0.6667 0.7488
0.3333 0.6667 0.2512
0.6667 0.3333 0.0000
0.0000 0.0000 0.5000
```



Entry 11:
VASP calculation (PBE-GGA) on a relaxed structure of HgGePd2.

DFT total energy (eV per atom): -3.873

POSCAR file:
```
HgGePd2
1.0
0.0000 3.2756 3.2756
3.2756 0.0000 3.2756
3.2756 3.2756 0.0000
Hg Pd Ge
1 2 1
direct
0.2500 0.2500 0.2500
0.7500 0.7500 0.7500
0.0000 0.0000 0.0000
0.5000 0.5000 0.5000
```



Entry 12:
VASP calculation (PBE-GGA) on a relaxed structure of MgTaGaNi.

Polymorph energy (0 for the lowest one) (kcal/mol of atoms): 0.922
DFT total energy (eV per atom): -5.269

POSCAR file:
```
MgTaGaNi
1.0
0.0000 3.1358 3.1358
3.1358 0.0000 3.1358
3.1358 3.1358 0.0000
Ni Mg Ta Ga
1 1 1 1
direct
0.7500 0.7500 0.7500
0.5000 0.5000 0.5000
0.2500 0.2500 0.2500
0.0000 0.0000 0.0000
```